1.
Material: DyHo2Rh
Method: DFT, PBE
State: optimized geometry

a b c (Å): 3.794 6.227 9.370
angles (deg): 90.00 90.00 107.75
Positions (direct):
Dy  0.424  0.848  0.250
Dy  0.576  0.152  0.750
Ho  0.139  0.277  0.433
Ho  0.861  0.723  0.567
Ho  0.861  0.723  0.933
Ho  0.139  0.277  0.067
Rh  0.744  0.488  0.250
Rh  0.256  0.512  0.750

Output
Symmetry: No. 63
Energy relative to the elements, meV/atom: -506

2.
Material: Dy3HoRh2
Method: DFT, PBE
State: optimized geometry

a b c (Å): 4.699 7.144 8.677
angles (deg): 90.00 90.00 90.00
Positions (direct):
Dy  0.000  0.488  0.914
Dy  0.000  0.988  0.086
Dy  0.500  0.641  0.167
Dy  0.500  0.141  0.833
Dy  0.000  0.359  0.333
Dy  0.000  0.859  0.667
Ho  0.500  0.512  0.585
Ho  0.500  0.012  0.415
Rh  0.500  0.742  0.839
Rh  0.500  0.242  0.161
Rh  0.000  0.258  0.660
Rh  0.000  0.758  0.340

Output
Symmetry: No. 26
Energy relative to the elements, meV/atom: -662

3.
Material: DyHo4Rh4
Method: DFT, PBE
State: optimized geometry

a b c (Å): 5.598 8.760 8.760
angles (deg): 90.00 90.00 90.00
Positions (direct):
Dy  0.000  0.000  0.000
Dy  0.500  0.500  0.500
Ho  0.407  0.319  0.913
Ho  0.907  0.587  0.819
Ho  0.407  0.681  0.087
Ho  0.093  0.181  0.587
Ho  0.593  0.913  0.681
Ho  0.093  0.819  0.413
Ho  0.907  0.413  0.181
Ho  0.593  0.087  0.319
Rh  0.596  0.777  0.376
Rh  0.596  0.223  0.624
Rh  0.096  0.876  0.723
Rh  0.904  0.277  0.876
Rh  0.904  0.723  0.124
Rh  0.404  0.376  0.223
Rh  0.404  0.624  0.777
Rh  0.096  0.124  0.277

Output
Symmetry: No. 86
Energy relative to the elements, meV/atom: -678

4.
Material: DyHoRh
Method: DFT, PBE
State: optimized geometry

a b c (Å): 4.126 5.787 8.255
angles (deg): 122.72 104.47 90.00
Positions (direct):
Rh  0.773  0.866  0.547
Rh  0.227  0.134  0.453
Ho  0.158  0.494  0.316
Ho  0.842  0.506  0.684
Dy  0.589  0.879  0.179
Dy  0.411  0.121  0.821

Output
Symmetry: No. 12
Energy relative to the elements, meV/atom: -590